Entry 1:
A relaxed ScB4Ir crystal. Source: OQMD, functional GGA-PBE.

crystal system: hexagonal
ΔE to the lowest computed polymorph: 0.263 eV/atom
final energy: -7.293 eV per atom

Unit cell a=3.161 b=3.161 c=6.474 alpha=90.00 beta=90.00 gamma=120.00
Fractional positions:
Sc 0.000 0.000 0.000
B 0.333 0.667 0.262
B 0.333 0.667 0.738
B 0.667 0.333 0.262
B 0.667 0.333 0.738
Ir 0.000 0.000 0.500

Entry 2:
A relaxed KPrNiTe3 crystal. Source: OQMD, functional GGA-PBE.

crystal system: monoclinic
ΔE to the lowest computed polymorph: 0.000 eV/atom
final energy: -4.384 eV per atom

Unit cell a=9.837 b=4.379 c=10.289 alpha=90.00 beta=108.05 gamma=90.00
Fractional positions:
K 0.215 0.250 0.254
K 0.785 0.750 0.746
Pr 0.320 0.750 0.859
Pr 0.680 0.250 0.141
Ni 0.095 0.250 0.615
Ni 0.905 0.750 0.385
Te 0.086 0.250 0.859
Te 0.167 0.750 0.528
Te 0.459 0.750 0.181
Te 0.541 0.250 0.819
Te 0.833 0.250 0.472
Te 0.914 0.750 0.141

Entry 3:
A relaxed Dy2Y3HoSb2Os crystal. Source: OQMD, functional GGA-PBE.

crystal system: orthorhombic
final energy: -6.531 eV per atom

Unit cell a=4.216 b=8.191 c=8.191 alpha=120.00 beta=90.00 gamma=90.00
Fractional positions:
Dy 0.000 0.118 0.882
Dy 0.000 0.882 0.118
Y 0.500 0.118 0.514
Y 0.500 0.514 0.118
Y 0.500 0.722 0.722
Ho 0.000 0.354 0.354
Sb 0.000 0.451 0.785
Sb 0.000 0.785 0.451
Os 0.500 0.118 0.118

Entry 4:
A relaxed Sn2W4CN crystal. Source: OQMD, functional GGA-PBE.

crystal system: trigonal
final energy: -9.340 eV per atom

Unit cell a=3.235 b=3.235 c=13.272 alpha=90.00 beta=90.00 gamma=120.00
Fractional positions:
Sn 0.333 0.667 0.248
Sn 0.667 0.333 0.752
W 0.333 0.667 0.582
W 0.333 0.667 0.923
W 0.667 0.333 0.077
W 0.667 0.333 0.418
C 0.000 0.000 0.500
N 0.000 0.000 0.000

Entry 5:
A relaxed SrHoBe crystal. Source: OQMD, functional GGA-PBE.

crystal system: cubic
ΔE to the lowest computed polymorph: 0.000 eV/atom
final energy: -2.808 eV per atom

Unit cell a=5.041 b=5.041 c=5.041 alpha=60.00 beta=60.00 gamma=60.00
Fractional positions:
Sr 0.000 0.000 0.000
Ho 0.500 0.500 0.500
Be 0.750 0.750 0.750

Entry 6:
A relaxed TaCuTeMo crystal. Source: OQMD, functional GGA-PBE.

crystal system: cubic
ΔE to the lowest computed polymorph: 0.009 eV/atom
final energy: -6.957 eV per atom

Unit cell a=4.588 b=4.588 c=4.588 alpha=60.00 beta=60.00 gamma=60.00
Fractional positions:
Ta 0.000 0.000 0.000
Cu 0.250 0.250 0.250
Te 0.500 0.500 0.500
Mo 0.750 0.750 0.750

Entry 7:
A relaxed CdHg2W crystal. Source: OQMD, functional GGA-PBE.

formation energy from the elements: 4.0 eV/f.u.
crystal system: cubic
final energy: -2.619 eV per atom

Unit cell a=4.872 b=4.872 c=4.872 alpha=60.00 beta=60.00 gamma=60.00
Fractional positions:
Cd 0.000 0.000 0.000
Hg 0.250 0.250 0.250
Hg 0.500 0.500 0.500
W 0.750 0.750 0.750

Entry 8:
A relaxed NbAsPO crystal. Source: OQMD, functional GGA-PBE.

crystal system: tetragonal
ΔE to the lowest computed polymorph: 0.188 eV/atom
final energy: -6.904 eV per atom

Unit cell a=3.432 b=3.432 c=10.810 alpha=90.00 beta=90.00 gamma=90.00
Fractional positions:
Nb 0.250 0.250 0.124
Nb 0.750 0.750 0.876
As 0.250 0.750 0.500
As 0.750 0.250 0.500
P 0.250 0.250 0.769
P 0.750 0.750 0.231
O 0.250 0.750 0.000
O 0.750 0.250 0.000